# AgH2Pd2

AgH2Pd2 after structural relaxation (GGA-PBE, the Alexandria database).

Computed properties:
ΔE to the lowest computed polymorph = 4 meV/atom
crystal system = tetragonal

Cell lengths 3.1204, 3.1204, 11.3429 Å; angles 90.00, 90.00, 90.00 degrees
Sites, in units of the cell vectors:
Ag 0.0000 0.0000 0.0000
Ag 0.5000 0.5000 0.5000
H 0.0000 0.5000 0.2500
H 0.0000 0.5000 0.7500
H 0.5000 0.0000 0.2500
H 0.5000 0.0000 0.7500
Pd 0.0000 0.0000 0.3406
Pd 0.0000 0.0000 0.6594
Pd 0.5000 0.5000 0.1594
Pd 0.5000 0.5000 0.8406

---

# AgH2Pd

AgH2Pd after structural relaxation (GGA-PBE, the Alexandria database).

Computed properties:
ΔE to the lowest computed polymorph = 23 meV/atom
crystal system = orthorhombic

Cell lengths 5.4005, 6.0387, 5.0944 Å; angles 90.00, 90.00, 90.00 degrees
Sites, in units of the cell vectors:
Ag 0.0969 0.1254 0.0000
Ag 0.4031 0.6254 0.5000
Ag 0.5969 0.3746 0.0000
Ag 0.9031 0.8746 0.5000
H 0.0565 0.6008 0.3445
H 0.0930 0.1467 0.3926
H 0.4070 0.6467 0.8926
H 0.4435 0.1008 0.8445
H 0.5565 0.8992 0.3445
H 0.5930 0.3533 0.3926
H 0.9070 0.8533 0.8926
H 0.9435 0.3992 0.8445
Pd 0.0930 0.6258 0.9988
Pd 0.4070 0.1258 0.4988
Pd 0.5930 0.8742 0.9988
Pd 0.9070 0.3742 0.4988

---

# AgHPd2

AgHPd2 after structural relaxation (GGA-PBE, the Alexandria database).

Computed properties:
ΔE to the lowest computed polymorph = 6 meV/atom
crystal system = monoclinic

Cell lengths 8.5725, 5.0286, 5.6653 Å; angles 90.00, 122.29, 90.00 degrees
Sites, in units of the cell vectors:
Ag 0.0000 0.0915 0.0000
Ag 0.0000 0.9085 0.5000
Ag 0.5000 0.4085 0.5000
Ag 0.5000 0.5915 0.0000
H 0.3561 0.1950 0.7188
H 0.3561 0.8050 0.2188
H 0.8561 0.3050 0.2188
H 0.8561 0.6950 0.7188
Pd 0.1645 0.4141 0.4988
Pd 0.1645 0.5859 0.9988
Pd 0.3325 0.0914 0.0023
Pd 0.3325 0.9086 0.5023
Pd 0.6645 0.0859 0.9988
Pd 0.6645 0.9141 0.4988
Pd 0.8325 0.4086 0.5023
Pd 0.8325 0.5914 0.0023

---

# Ag2HPd2

Ag2HPd2 after structural relaxation (GGA-PBE, the Alexandria database).

Computed properties:
ΔE to the lowest computed polymorph = 15 meV/atom
crystal system = tetragonal

Cell lengths 4.0170, 4.0170, 4.2541 Å; angles 90.00, 90.00, 90.00 degrees
Sites, in units of the cell vectors:
Ag 0.0000 0.0000 0.0000
Ag 0.5000 0.5000 0.0000
H 0.0000 0.0000 0.5000
Pd 0.0000 0.5000 0.5000
Pd 0.5000 0.0000 0.5000

---

# Ag5H12Pd3

Ag5H12Pd3 after structural relaxation (GGA-PBE, the Alexandria database).

Computed properties:
DFT total energy = -3.216 eV/atom
crystal system = cubic

Cell lengths 10.0903, 10.0903, 10.0903 Å; angles 109.47, 109.47, 109.47 degrees
Sites, in units of the cell vectors:
Ag 0.0000 0.0000 0.0000
Ag 0.0000 0.0000 0.5000
Ag 0.0000 0.5000 0.0000
Ag 0.0000 0.5000 0.5000
Ag 0.1250 0.7500 0.8750
Ag 0.1250 0.8750 0.2500
Ag 0.2500 0.1250 0.8750
Ag 0.2500 0.6250 0.3750
Ag 0.3750 0.2500 0.6250
Ag 0.3750 0.6250 0.7500
Ag 0.5000 0.0000 0.0000
Ag 0.5000 0.0000 0.5000
Ag 0.5000 0.5000 0.0000
Ag 0.5000 0.5000 0.5000
Ag 0.6250 0.3750 0.2500
Ag 0.6250 0.7500 0.3750
Ag 0.7500 0.3750 0.6250
Ag 0.7500 0.8750 0.1250
Ag 0.8750 0.1250 0.7500
Ag 0.8750 0.2500 0.1250
H 0.0286 0.6953 0.6541
H 0.0286 0.8333 0.3745
H 0.0412 0.1953 0.1667
H 0.0412 0.3459 0.8745
H 0.1255 0.6667 0.4714
H 0.1255 0.9588 0.6541
H 0.1541 0.1953 0.5286
H 0.1541 0.4588 0.6255
H 0.1667 0.0412 0.1953
H 0.1667 0.6255 0.9714
H 0.1953 0.1667 0.0412
H 0.1953 0.5286 0.1541
H 0.3047 0.3459 0.9714
H 0.3047 0.4588 0.3333
H 0.3333 0.3047 0.4588
H 0.3333 0.5286 0.8745
H 0.3459 0.8745 0.0412
H 0.3459 0.9714 0.3047
H 0.3745 0.0286 0.8333
H 0.3745 0.8459 0.5412
H 0.4588 0.3333 0.3047
H 0.4588 0.6255 0.1541
H 0.4714 0.1255 0.6667
H 0.4714 0.8459 0.8047
H 0.5286 0.1541 0.1953
H 0.5286 0.8745 0.3333
H 0.5412 0.3745 0.8459
H 0.5412 0.6667 0.6953
H 0.6255 0.1541 0.4588
H 0.6255 0.9714 0.1667
H 0.6541 0.0286 0.6953
H 0.6541 0.1255 0.9588
H 0.6667 0.4714 0.1255
H 0.6667 0.6953 0.5412
H 0.6953 0.5412 0.6667
H 0.6953 0.6541 0.0286
H 0.8047 0.4714 0.8459
H 0.8047 0.8333 0.9588
H 0.8333 0.3745 0.0286
H 0.8333 0.9588 0.8047
H 0.8459 0.5412 0.3745
H 0.8459 0.8047 0.4714
H 0.8745 0.0412 0.3459
H 0.8745 0.3333 0.5286
H 0.9588 0.6541 0.1255
H 0.9588 0.8047 0.8333
H 0.9714 0.1667 0.6255
H 0.9714 0.3047 0.3459
Pd 0.1250 0.2500 0.3750
Pd 0.1250 0.3750 0.7500
Pd 0.2500 0.3750 0.1250
Pd 0.2500 0.8750 0.6250
Pd 0.3750 0.1250 0.2500
Pd 0.3750 0.7500 0.1250
Pd 0.6250 0.2500 0.8750
Pd 0.6250 0.8750 0.7500
Pd 0.7500 0.1250 0.3750
Pd 0.7500 0.6250 0.8750
Pd 0.8750 0.6250 0.2500
Pd 0.8750 0.7500 0.6250

---

# Ag2HPd2

Ag2HPd2 after structural relaxation (GGA-PBE, the Alexandria database).

Computed properties:
ΔE to the lowest computed polymorph = 123 meV/atom
crystal system = tetragonal

Cell lengths 5.4148, 5.4148, 4.9550 Å; angles 90.00, 90.00, 90.00 degrees
Sites, in units of the cell vectors:
Ag 0.1744 0.3256 0.0000
Ag 0.3256 0.8256 0.0000
Ag 0.6744 0.1744 0.0000
Ag 0.8256 0.6744 0.0000
H 0.0000 0.0000 0.5000
H 0.5000 0.5000 0.5000
Pd 0.1782 0.6782 0.5000
Pd 0.3218 0.1782 0.5000
Pd 0.6782 0.8218 0.5000
Pd 0.8218 0.3218 0.5000

---

# Ag3HPd3

Ag3HPd3 after structural relaxation (GGA-PBE, the Alexandria database).

Computed properties:
DFT total energy = -3.895 eV/atom
crystal system = monoclinic

Cell lengths 7.7973, 7.7973, 5.3886 Å; angles 105.88, 105.88, 126.31 degrees
Sites, in units of the cell vectors:
Ag 0.1797 0.8203 0.0000
Ag 0.3193 0.6807 0.5000
Ag 0.4217 0.4217 0.1965
Ag 0.5783 0.5783 0.8035
Ag 0.6807 0.3193 0.5000
Ag 0.8203 0.1797 0.0000
H 0.1889 0.1889 0.7060
H 0.8111 0.8111 0.2940
Pd 0.0770 0.0770 0.3049
Pd 0.1027 0.3966 0.7493
Pd 0.3966 0.1027 0.7493
Pd 0.6034 0.8973 0.2507
Pd 0.8973 0.6034 0.2507
Pd 0.9230 0.9230 0.6951

---

# PmAg2H8Pd3

PmAg2H8Pd3 after structural relaxation (GGA-PBE, the Alexandria database).

Computed properties:
DFT total energy = -3.842 eV/atom
crystal system = trigonal

Cell lengths 5.8746, 5.8746, 5.8746 Å; angles 61.09, 61.09, 61.09 degrees
Sites, in units of the cell vectors:
Pm 0.0000 0.0000 0.0000
Ag 0.2509 0.2509 0.2509
Ag 0.6133 0.6133 0.6133
H 0.3502 0.3502 0.8190
H 0.3502 0.8190 0.3502
H 0.3908 0.3908 0.3908
H 0.4475 0.8493 0.8493
H 0.8190 0.3502 0.3502
H 0.8409 0.8409 0.8409
H 0.8493 0.4475 0.8493
H 0.8493 0.8493 0.4475
Pd 0.1211 0.6156 0.6156
Pd 0.6156 0.1211 0.6156
Pd 0.6156 0.6156 0.1211

---

# PrAgH6Pd4

PrAgH6Pd4 after structural relaxation (GGA-PBE, the Alexandria database).

Computed properties:
DFT total energy = -4.281 eV/atom
crystal system = hexagonal

Cell lengths 4.8192, 4.8192, 6.7724 Å; angles 90.00, 90.00, 120.00 degrees
Sites, in units of the cell vectors:
Pr 0.0000 0.0000 0.0000
Ag 0.0000 0.0000 0.5000
H 0.0000 0.5000 0.1479
H 0.0000 0.5000 0.8521
H 0.5000 0.0000 0.1479
H 0.5000 0.0000 0.8521
H 0.5000 0.5000 0.1479
H 0.5000 0.5000 0.8521
Pd 0.3333 0.6667 0.3009
Pd 0.3333 0.6667 0.6991
Pd 0.6667 0.3333 0.3009
Pd 0.6667 0.3333 0.6991

---

# Pr2AgHPd6

Pr2AgHPd6 after structural relaxation (GGA-PBE, the Alexandria database).

Computed properties:
DFT total energy = -5.209 eV/atom
crystal system = triclinic

Cell lengths 5.6739, 5.6779, 7.1543 Å; angles 67.59, 67.56, 62.04 degrees
Sites, in units of the cell vectors:
Pr 0.2441 0.2456 0.3161
Pr 0.7559 0.7544 0.6839
Ag 0.5000 0.5000 0.5000
H 0.0000 0.0000 0.0000
Pd 0.1972 0.6823 0.8525
Pd 0.2083 0.2069 0.7863
Pd 0.3157 0.8046 0.1490
Pd 0.6843 0.1954 0.8510
Pd 0.7917 0.7931 0.2137
Pd 0.8028 0.3177 0.1475

---

# AgH6Pd2Pt

AgH6Pd2Pt after structural relaxation (GGA-PBE, the Alexandria database).

Computed properties:
DFT total energy = -3.909 eV/atom
crystal system = monoclinic

Cell lengths 4.3774, 4.6363, 9.6343 Å; angles 90.00, 115.18, 90.00 degrees
Sites, in units of the cell vectors:
Ag 0.0000 0.0000 0.0000
Ag 0.0000 0.5000 0.5000
H 0.1233 0.1420 0.3473
H 0.1233 0.3580 0.8473
H 0.3590 0.7028 0.1181
H 0.3590 0.7972 0.6181
H 0.4526 0.2349 0.1216
H 0.4526 0.2651 0.6216
H 0.5474 0.7349 0.3784
H 0.5474 0.7651 0.8784
H 0.6410 0.2028 0.3819
H 0.6410 0.2972 0.8819
H 0.8767 0.6420 0.1527
H 0.8767 0.8580 0.6527
Pd 0.2660 0.0606 0.7551
Pd 0.2660 0.4394 0.2551
Pd 0.7340 0.5606 0.7449
Pd 0.7340 0.9394 0.2449
Pt 0.5000 0.0000 0.5000
Pt 0.5000 0.5000 0.0000

---

# AgH4PdPt

AgH4PdPt after structural relaxation (GGA-PBE, the Alexandria database).

Computed properties:
DFT total energy = -3.863 eV/atom
crystal system = orthorhombic

Cell lengths 5.7484, 5.7484, 5.7484 Å; angles 120.44, 117.38, 91.92 degrees
Sites, in units of the cell vectors:
Ag 0.3973 0.1473 0.2500
Ag 0.6027 0.8527 0.7500
H 0.1887 0.7406 0.4481
H 0.2074 0.2594 0.9481
H 0.2245 0.2547 0.5302
H 0.2245 0.6944 0.9698
H 0.7755 0.3056 0.0302
H 0.7755 0.7453 0.4698
H 0.7926 0.7406 0.0519
H 0.8113 0.2594 0.5519
Pd 0.0000 0.5000 0.5000
Pd 0.5000 0.5000 0.0000
Pt 0.0000 0.0000 0.5000
Pt 0.0000 0.5000 0.0000

---

# Ag2H4PdPt

Ag2H4PdPt after structural relaxation (GGA-PBE, the Alexandria database).

Computed properties:
DFT total energy = -3.715 eV/atom
crystal system = monoclinic

Cell lengths 5.0935, 3.0590, 5.4001 Å; angles 90.00, 109.02, 90.00 degrees
Sites, in units of the cell vectors:
Ag 0.0000 0.0000 0.0000
Ag 0.5000 0.5000 0.0000
H 0.2047 0.0000 0.6641
H 0.2645 0.5000 0.3401
H 0.7355 0.5000 0.6599
H 0.7953 0.0000 0.3359
Pd 0.5000 0.0000 0.5000
Pt 0.0000 0.5000 0.5000

---

# Ag2H6PdPt

Ag2H6PdPt after structural relaxation (GGA-PBE, the Alexandria database).

Computed properties:
DFT total energy = -3.622 eV/atom
crystal system = triclinic

Cell lengths 4.9289, 4.9359, 5.1589 Å; angles 117.92, 90.21, 119.82 degrees
Sites, in units of the cell vectors:
Ag 0.2443 0.4929 0.2393
Ag 0.7557 0.5071 0.7607
H 0.1658 0.4753 0.7348
H 0.2461 0.0810 0.2655
H 0.3158 0.0726 0.7368
H 0.6842 0.9274 0.2632
H 0.7539 0.9190 0.7345
H 0.8342 0.5247 0.2652
Pd 0.5000 0.0000 0.0000
Pt 0.0000 0.0000 0.5000

---

# AgH4Pd2Pt

AgH4Pd2Pt after structural relaxation (GGA-PBE, the Alexandria database).

Computed properties:
DFT total energy = -4.112 eV/atom
crystal system = tetragonal

Cell lengths 4.3604, 4.3604, 8.4487 Å; angles 90.00, 90.00, 90.00 degrees
Sites, in units of the cell vectors:
Ag 0.0000 0.0000 0.0000
Ag 0.5000 0.5000 0.5000
H 0.2150 0.2150 0.6375
H 0.2150 0.7850 0.3625
H 0.2850 0.2850 0.1375
H 0.2850 0.7150 0.8625
H 0.7150 0.2850 0.8625
H 0.7150 0.7150 0.1375
H 0.7850 0.2150 0.3625
H 0.7850 0.7850 0.6375
Pd 0.0000 0.5000 0.2500
Pd 0.0000 0.5000 0.7500
Pd 0.5000 0.0000 0.2500
Pd 0.5000 0.0000 0.7500
Pt 0.0000 0.0000 0.5000
Pt 0.5000 0.5000 0.0000

---

# AgHPdPt

AgHPdPt after structural relaxation (GGA-PBE, the Alexandria database).

Computed properties:
DFT total energy = -4.378 eV/atom
crystal system = monoclinic

Cell lengths 12.8029, 2.8660, 2.8662 Å; angles 90.00, 102.74, 90.00 degrees
Sites, in units of the cell vectors:
Ag 0.0000 0.0000 0.0000
Ag 0.5000 0.5000 0.0000
H 0.1961 0.0000 0.1874
H 0.6961 0.5000 0.1874
Pd 0.1692 0.5000 0.6686
Pd 0.6692 0.0000 0.6686
Pt 0.3376 0.0000 0.3384
Pt 0.8376 0.5000 0.3384

---

# AgH8Pd2Pt3

AgH8Pd2Pt3 after structural relaxation (GGA-PBE, the Alexandria database).

Computed properties:
DFT total energy = -4.084 eV/atom
crystal system = trigonal

Cell lengths 5.8422, 5.8422, 5.8422 Å; angles 57.46, 57.46, 57.46 degrees
Sites, in units of the cell vectors:
Ag 0.0000 0.0000 0.0000
H 0.3871 0.3871 0.8567
H 0.3871 0.8567 0.3871
H 0.3934 0.3934 0.3934
H 0.4478 0.8753 0.8753
H 0.8567 0.3871 0.3871
H 0.8645 0.8645 0.8645
H 0.8753 0.4478 0.8753
H 0.8753 0.8753 0.4478
Pd 0.2680 0.2680 0.2680
Pd 0.6361 0.6361 0.6361
Pt 0.1392 0.6347 0.6347
Pt 0.6347 0.1392 0.6347
Pt 0.6347 0.6347 0.1392

---

# Pu2AgHPd6

Pu2AgHPd6 after structural relaxation (GGA-PBE, the Alexandria database).

Computed properties:
DFT total energy = -6.800 eV/atom
crystal system = monoclinic

Cell lengths 6.3625, 6.3625, 6.3589 Å; angles 119.97, 119.97, 60.01 degrees
Sites, in units of the cell vectors:
Pu 0.2500 0.2500 0.2500
Pu 0.7500 0.7500 0.7500
Ag 0.0000 0.0000 0.5000
H 0.5000 0.5000 0.0000
Pd 0.2820 0.2820 0.7819
Pd 0.2823 0.7177 0.2181
Pd 0.2823 0.7177 0.7819
Pd 0.7177 0.2823 0.2181
Pd 0.7177 0.2823 0.7819
Pd 0.7180 0.7180 0.2181

---

# Rb2AgHPd

Rb2AgHPd after structural relaxation (GGA-PBE, the Alexandria database).

Computed properties:
DFT total energy = -2.669 eV/atom
crystal system = tetragonal

Cell lengths 6.2939, 6.2939, 3.5382 Å; angles 90.00, 90.00, 90.00 degrees
Sites, in units of the cell vectors:
Rb 0.0000 0.5000 0.0000
Rb 0.5000 0.0000 0.0000
Ag 0.0000 0.0000 0.5000
H 0.5000 0.5000 0.0000
Pd 0.5000 0.5000 0.5000

---

It is found that the DOS(E_F) values, taken in the order of the records, are 1.8; 3.1; 5.6; 1.1; 21.7; 3.0; 4.4; 3.3; 3.7; 3.5; 3.1; 2.3; 0.9; 1.3; 3.4; 3.9; 2.4; 38.1; 1.5 states/eV/cell.